# Tl3P2Pt3 (PBE-GGA, optimized geometry)
data_Tl3P2Pt3
_space_group_name_H-M_alt 'P 1'
_space_group_IT_number 1
_cell_length_a 7.2510
_cell_length_b 7.2510
_cell_length_c 7.2510
_cell_angle_alpha 45.96
_cell_angle_beta 45.96
_cell_angle_gamma 45.96
loop_
_space_group_symop_operation_xyz
'x,y,z'
loop_
_atom_site_label
_atom_site_fract_x
_atom_site_fract_y
_atom_site_fract_z
_atom_site_occupancy
Tl1 0.0000 0.0000 0.0000 1
Tl2 0.4134 0.4134 0.4134 1
Tl3 0.5866 0.5866 0.5866 1
P1 0.2556 0.2556 0.2556 1
P2 0.7444 0.7444 0.7444 1
Pt1 0.0000 0.0000 0.5000 1
Pt2 0.0000 0.5000 0.0000 1
Pt3 0.5000 0.0000 0.0000 1
# Raw total energy (eV per atom): -4.60
# Symmetry: R-3m, No. 166